VASP calculation (PBE) on a relaxed structure of Tl4InHg2Bi.

DFT total energy in eV/atom: -2.058
Density of states at the Fermi level in states/eV/f.u.: 3.2
M_tot in μB per formula unit: 0.0
Energy of formation in eV per atom: 0.03
Mass density in g/cm³: 10.03

a = 4.5661 Å, b = 14.7153 Å, c = 15.2032 Å
α = 90.00°, β = 90.00°, γ = 90.00°
Last column: nearest neighbours and their distance in Å.
Space group Cmcm (No. 63)
Asymmetric unit:
Tl 0.0000 0.0000 0.0000 x4  4 Hg 3.22
Tl 0.0000 0.2883 0.0828 x8  3 Hg 3.20-3.48, 2 Bi 3.42, 1 In 3.47, 3 Tl 3.52-3.58
Tl 0.0000 0.4539 0.2500 x4  2 Hg 3.21, 2 Bi 3.29, 2 In 3.43, 2 Tl 3.52
In 0.0000 0.1275 0.2500 x4  4 Hg 3.20, 2 Bi 3.33, 4 Tl 3.43-3.47
Hg 0.0000 0.3889 0.6038 x8  2 In 3.20, 6 Tl 3.20-3.48, 1 Bi 3.47
Bi 0.0000 0.2074 0.7500 x4  6 Tl 3.29-3.42, 2 In 3.33, 2 Hg 3.47